Entry 1:
Computed, not measured: a geometry-optimized La2ZnAg2 structure at the GGA-PBE level of DFT.

Cell: 8.675 8.675 3.789 Å, 90.00 90.00 90.00°
Element x y z (fractional)
La 0.171 0.329 0.000
La 0.329 0.829 0.000
La 0.671 0.171 0.000
La 0.829 0.671 0.000
Zn 0.000 0.000 0.000
Zn 0.500 0.500 0.000
Ag 0.122 0.622 0.500
Ag 0.378 0.122 0.500
Ag 0.622 0.878 0.500
Ag 0.878 0.378 0.500

Calculated values
As for the energy above the most stable polymorph in this dataset: 241 meV/atom. Its density of states at the Fermi level is 1.107 states/eV/atom. The total magnetization comes out at 0.0 μB per formula unit. As for the symmetry: P4/mbm, No. 127.

---

Entry 2:
Computed, not measured: a geometry-optimized La2Zn2Ag structure at the GGA-PBE level of DFT.

Cell: 8.967 8.967 3.290 Å, 90.00 90.00 90.00°
Element x y z (fractional)
La 0.185 0.315 0.000
La 0.315 0.815 0.000
La 0.685 0.185 0.000
La 0.815 0.685 0.000
Zn 0.106 0.606 0.500
Zn 0.394 0.106 0.500
Zn 0.606 0.894 0.500
Zn 0.894 0.394 0.500
Ag 0.000 0.000 0.000
Ag 0.500 0.500 0.000

Calculated values
As for the energy above the most stable polymorph in this dataset: 303 meV/atom. Its density of states at the Fermi level is 0.994 states/eV/atom. The total magnetization comes out at 0.3 μB per formula unit. As for the symmetry: P4/mbm, No. 127.

---

Entry 3:
Computed, not measured: a geometry-optimized La2Zn10Ag structure at the GGA-PBE level of DFT.

Cell: 5.851 12.003 7.880 Å, 90.00 115.27 90.00°
Element x y z (fractional)
La 0.028 0.106 0.299
La 0.028 0.394 0.799
La 0.972 0.606 0.201
La 0.972 0.894 0.701
Zn 0.181 0.151 0.742
Zn 0.181 0.349 0.242
Zn 0.190 0.655 0.635
Zn 0.190 0.845 0.135
Zn 0.331 0.676 0.995
Zn 0.331 0.824 0.495
Zn 0.401 0.200 0.121
Zn 0.401 0.300 0.621
Zn 0.461 0.013 0.657
Zn 0.461 0.487 0.157
Zn 0.539 0.513 0.843
Zn 0.539 0.987 0.343
Zn 0.599 0.700 0.379
Zn 0.599 0.800 0.879
Zn 0.669 0.176 0.505
Zn 0.669 0.324 0.005
Zn 0.810 0.155 0.865
Zn 0.810 0.345 0.365
Zn 0.819 0.651 0.758
Zn 0.819 0.849 0.258
Ag 0.500 0.000 0.000
Ag 0.500 0.500 0.500

Calculated values
Its density of states at the Fermi level is 0.446 states/eV/atom. The total magnetization comes out at 0.0 μB per formula unit. As for the symmetry: P2_1/c, No. 14.

---

Entry 4:
Computed, not measured: a geometry-optimized LaZn5Ag7 structure at the GGA-PBE level of DFT.

Cell: 7.176 7.176 7.176 Å, 136.83 97.92 97.64°
Element x y z (fractional)
La 0.000 0.000 0.000
Zn 0.006 0.004 0.502
Zn 0.006 0.505 0.002
Zn 0.225 0.725 0.500
Zn 0.502 0.004 0.998
Zn 0.502 0.505 0.498
Ag 0.219 0.506 0.713
Ag 0.345 0.345 0.000
Ag 0.351 0.002 0.349
Ag 0.649 0.649 0.000
Ag 0.653 0.002 0.651
Ag 0.781 0.281 0.500
Ag 0.793 0.506 0.287

Calculated values
Its density of states at the Fermi level is 0.376 states/eV/atom. The total magnetization comes out at 0.0 μB per formula unit. As for the symmetry: Imm2, No. 44.

---

Entry 5:
Computed, not measured: a geometry-optimized LaZn2Ag2 structure at the GGA-PBE level of DFT.

Cell: 4.354 4.354 11.484 Å, 90.00 90.00 90.00°
Element x y z (fractional)
La 0.000 0.000 0.000
La 0.500 0.500 0.500
Zn 0.000 0.500 0.250
Zn 0.000 0.500 0.750
Zn 0.500 0.000 0.250
Zn 0.500 0.000 0.750
Ag 0.000 0.000 0.381
Ag 0.000 0.000 0.619
Ag 0.500 0.500 0.119
Ag 0.500 0.500 0.881

Calculated values
As for the energy above the most stable polymorph in this dataset: 33 meV/atom. Its density of states at the Fermi level is 0.742 states/eV/atom. The total magnetization comes out at 0.0 μB per formula unit. As for the symmetry: I4/mmm, No. 139.

---

Entry 6:
Computed, not measured: a geometry-optimized LaZn2Ag6 structure at the GGA-PBE level of DFT.

Cell: 4.284 4.284 9.667 Å, 90.00 90.00 90.00°
Element x y z (fractional)
La 0.000 0.000 0.000
Zn 0.500 0.500 0.131
Zn 0.500 0.500 0.869
Ag 0.000 0.000 0.500
Ag 0.000 0.500 0.293
Ag 0.000 0.500 0.707
Ag 0.500 0.000 0.293
Ag 0.500 0.000 0.707
Ag 0.500 0.500 0.500

Calculated values
As for the energy above the most stable polymorph in this dataset: 0 meV/atom. Its density of states at the Fermi level is 0.473 states/eV/atom. The total magnetization comes out at 0.0 μB per formula unit. As for the symmetry: P4/mmm, No. 123.

---

Entry 7:
Computed, not measured: a geometry-optimized LaZn10Ag2 structure at the GGA-PBE level of DFT.

Cell: 9.096 6.986 6.972 Å, 81.34 49.40 49.26°
Element x y z (fractional)
La 0.000 0.000 0.000
Zn 0.000 0.500 0.000
Zn 0.003 0.357 0.643
Zn 0.278 0.495 0.505
Zn 0.357 0.003 0.997
Zn 0.495 0.278 0.722
Zn 0.500 0.000 0.500
Zn 0.505 0.722 0.278
Zn 0.643 0.997 0.003
Zn 0.722 0.505 0.495
Zn 0.997 0.643 0.357
Ag 0.000 0.000 0.500
Ag 0.500 0.500 0.000

Calculated values
Its density of states at the Fermi level is 0.384 states/eV/atom. The total magnetization comes out at 0.0 μB per formula unit. As for the symmetry: Fmmm, No. 69.

---

Entry 8:
Computed, not measured: a geometry-optimized La2ZnAg3 structure at the GGA-PBE level of DFT.

Cell: 3.659 4.789 8.344 Å, 90.00 90.00 90.00°
Element x y z (fractional)
La 0.000 0.000 0.000
La 0.000 0.500 0.496
Zn 0.500 0.000 0.329
Ag 0.500 0.000 0.654
Ag 0.500 0.500 0.173
Ag 0.500 0.500 0.834

Calculated values
As for the energy above the most stable polymorph in this dataset: 0 meV/atom. Its density of states at the Fermi level is 0.678 states/eV/atom. The total magnetization comes out at 0.0 μB per formula unit. As for the symmetry: Pmm2, No. 25.

---

Entry 9:
Computed, not measured: a geometry-optimized LaZn7Ag5 structure at the GGA-PBE level of DFT.

Cell: 7.131 7.131 7.131 Å, 135.04 97.17 99.64°
Element x y z (fractional)
La 0.000 0.000 0.000
Zn 0.204 0.704 0.500
Zn 0.227 0.509 0.718
Zn 0.361 0.361 0.000
Zn 0.371 0.016 0.354
Zn 0.648 0.648 0.000
Zn 0.662 0.016 0.646
Zn 0.791 0.509 0.282
Ag 0.024 0.011 0.510
Ag 0.024 0.514 0.013
Ag 0.501 0.011 0.987
Ag 0.501 0.514 0.490
Ag 0.788 0.288 0.500

Calculated values
Its density of states at the Fermi level is 0.443 states/eV/atom. The total magnetization comes out at 0.0 μB per formula unit. As for the symmetry: Imm2, No. 44.

---

Entry 10:
Computed, not measured: a geometry-optimized LaZnAg2 structure at the GGA-PBE level of DFT.

Cell: 3.690 4.696 5.561 Å, 90.00 90.15 90.00°
Element x y z (fractional)
La 0.000 0.000 0.000
Zn 0.500 0.000 0.500
Ag 0.499 0.500 0.747
Ag 0.501 0.500 0.253

Calculated values
Its density of states at the Fermi level is 0.624 states/eV/atom. The total magnetization comes out at 0.0 μB per formula unit. As for the symmetry: P2/m, No. 10.

---

Entry 11:
Computed, not measured: a geometry-optimized La2ZnAg structure at the GGA-PBE level of DFT.

Cell: 3.857 3.857 27.563 Å, 90.00 90.00 120.00°
Element x y z (fractional)
La 0.000 0.000 0.248
La 0.000 0.000 0.752
La 0.333 0.667 0.419
La 0.333 0.667 0.915
La 0.667 0.333 0.085
La 0.667 0.333 0.581
Zn 0.000 0.000 0.500
Zn 0.333 0.667 0.167
Zn 0.667 0.333 0.833
Ag 0.000 0.000 0.000
Ag 0.333 0.667 0.667
Ag 0.667 0.333 0.333

Calculated values
Its density of states at the Fermi level is 1.236 states/eV/atom. The total magnetization comes out at 0.0 μB per formula unit. As for the symmetry: R-3m, No. 166.

---

Entry 12:
Computed, not measured: a geometry-optimized LaZn2Ag structure at the GGA-PBE level of DFT.

Cell: 3.270 3.514 7.310 Å, 90.00 90.00 90.00°
Element x y z (fractional)
La 0.000 0.000 0.000
Zn 0.000 0.000 0.486
Zn 0.500 0.500 0.297
Ag 0.500 0.500 0.686

Calculated values
Its density of states at the Fermi level is 0.741 states/eV/atom. The total magnetization comes out at 0.1 μB per formula unit. As for the symmetry: Pmm2, No. 25.

---

The electronic total energy results, record by record, are as follows: -3.41; -3.05; -2.14; -2.56; -2.85; -2.86; -1.95; -3.60; -2.26; -3.11; -3.57; -2.70 eV per atom.